No. 1
DFT (GGA-PBE) results for a relaxed structure of BaPtSO.

Results
* excess energy over the best structure of this formula in the dataset: 0.489 eV/atom
* space-group type: No. 129

a b c (Å): 4.3274 4.3274 8.9202
angles (deg): 90.00 90.00 90.00
Last column: nearest neighbours and their distance in Å.
Fractional coordinates of all 8 atoms:
Ba  0.7500  0.7500  0.2050  5 S 3.10-3.18, 1 Pt 3.27, 4 O 3.41
Ba  0.2500  0.2500  0.7950  5 S 3.10-3.18, 1 Pt 3.27, 4 O 3.41
O  0.7500  0.2500  0.5000  4 Pt 2.26
O  0.2500  0.7500  0.5000  4 Pt 2.26
Pt  0.2500  0.2500  0.4284  4 O 2.26, 1 S 2.47
Pt  0.7500  0.7500  0.5716  4 O 2.26, 1 S 2.47
S  0.2500  0.2500  0.1514  1 Pt 2.47
S  0.7500  0.7500  0.8486  1 Pt 2.47


No. 2
DFT (GGA-PBE) results for a relaxed structure of BaPtSO.

Results
* excess energy over the best structure of this formula in the dataset: 0.107 eV/atom
* space-group type: No. 19

a b c (Å): 8.6909 5.7224 8.3165
angles (deg): 90.00 90.00 90.00
Last column: nearest neighbours and their distance in Å.
Fractional coordinates of all 16 atoms:
Ba  0.3143  0.7070  0.1556  2 O 2.56-2.60
Ba  0.6857  0.2070  0.3444  2 O 2.56-2.60
Ba  0.1857  0.2930  0.6556  2 O 2.56-2.60
Ba  0.8143  0.7930  0.8444  2 O 2.56-2.60
O  0.5407  0.9994  0.1183  1 Pt 1.93
O  0.4593  0.4994  0.3817  1 Pt 1.93
O  0.9593  0.0006  0.6183  1 Pt 1.93
O  0.0407  0.5006  0.8817  1 Pt 1.93
Pt  0.0119  0.3327  0.0811  1 O 1.93
Pt  0.9881  0.8327  0.4189  1 O 1.93
Pt  0.4881  0.6673  0.5811  1 O 1.93
Pt  0.5119  0.1673  0.9189  1 O 1.93
S  0.9860  0.9563  0.1574  2 Pt 2.26-2.29
S  0.0140  0.4563  0.3426  2 Pt 2.26-2.29
S  0.5140  0.0437  0.6574  2 Pt 2.26-2.29
S  0.4860  0.5437  0.8426  2 Pt 2.26-2.29


Copy entry 2 word for word.
DFT (GGA-PBE) results for a relaxed structure of BaPtSO.

Results
* excess energy over the best structure of this formula in the dataset: 0.107 eV/atom
* space-group type: No. 19

a b c (Å): 8.6909 5.7224 8.3165
angles (deg): 90.00 90.00 90.00
Last column: nearest neighbours and their distance in Å.
Fractional coordinates of all 16 atoms:
Ba  0.3143  0.7070  0.1556  2 O 2.56-2.60
Ba  0.6857  0.2070  0.3444  2 O 2.56-2.60
Ba  0.1857  0.2930  0.6556  2 O 2.56-2.60
Ba  0.8143  0.7930  0.8444  2 O 2.56-2.60
O  0.5407  0.9994  0.1183  1 Pt 1.93
O  0.4593  0.4994  0.3817  1 Pt 1.93
O  0.9593  0.0006  0.6183  1 Pt 1.93
O  0.0407  0.5006  0.8817  1 Pt 1.93
Pt  0.0119  0.3327  0.0811  1 O 1.93
Pt  0.9881  0.8327  0.4189  1 O 1.93
Pt  0.4881  0.6673  0.5811  1 O 1.93
Pt  0.5119  0.1673  0.9189  1 O 1.93
S  0.9860  0.9563  0.1574  2 Pt 2.26-2.29
S  0.0140  0.4563  0.3426  2 Pt 2.26-2.29
S  0.5140  0.0437  0.6574  2 Pt 2.26-2.29
S  0.4860  0.5437  0.8426  2 Pt 2.26-2.29